[1]
The following is a DFT calculation (PBE) of crystalline Zr3ScIn at its relaxed geometry.

**Formation enthalpy at 0 K**: 0.946 eV per atom
**Total energy**: -29.99 eV per cell
**SG**: Pm-3m (221)
**D(E_F)**: 2.523 states/eV/atom
**Total magnetic moment**: 0.001 μB per formula unit

Cell: 5.3045 5.3045 5.3045 Å, 90.00 90.00 90.00°
With the nearest neighbours (Å) after each atom.
Element x y z (fractional)
Sc  0.5000  0.5000  0.5000  12 Zr 3.75
Zr  0.0000  0.5000  0.0000  2 In 2.65
Zr  0.0000  0.0000  0.5000  2 In 2.65
Zr  0.5000  0.0000  0.0000  2 In 2.65
In  0.0000  0.0000  0.0000  6 Zr 2.65

=====

[2]
The following is a DFT calculation (PBE) of crystalline Zr3Sc2In3 at its relaxed geometry.

**Formation enthalpy at 0 K**: -0.296 eV per atom
**Total energy**: -48.89 eV per cell
**SG**: Pmmm (47)
**D(E_F)**: 1.043 states/eV/atom
**Total magnetic moment**: 0.000 μB per formula unit

Cell: 4.5912 4.5269 8.6263 Å, 90.00 90.00 90.00°
With the nearest neighbours (Å) after each atom.
Element x y z (fractional)
Zr  0.5000  0.5000  0.7475  6 In 3.11-3.16, 2 Zr 3.14, 4 Sc 3.22
Zr  0.5000  0.5000  0.2525  6 In 3.11-3.16, 2 Zr 3.14, 4 Sc 3.22
Zr  0.5000  0.0000  0.0000  4 Zr 3.14, 4 Sc 3.16, 4 In 3.22
Sc  0.0000  0.0000  0.7476  6 In 3.11-3.14, 6 Zr 3.16-3.22
Sc  0.0000  0.0000  0.2524  6 In 3.11-3.14, 6 Zr 3.16-3.22
In  0.5000  0.0000  0.5000  4 Zr 3.11, 4 Sc 3.14, 4 In 3.22
In  0.0000  0.5000  0.0000  4 Sc 3.14, 8 Zr 3.16-3.22
In  0.0000  0.5000  0.5000  4 Sc 3.11, 4 Zr 3.13, 4 In 3.22